#a
Below is a relaxed MgTaB4 crystal, with properties calculated at the GGA-PBE level.

CIF file:
```
data_MgTaB4
_cell_length_a 6.053
_cell_length_b 11.614
_cell_length_c 3.514
_cell_angle_alpha 90.00
_cell_angle_beta 90.00
_cell_angle_gamma 90.00
_symmetry_space_group_name_H-M 'P b a m'
_symmetry_Int_Tables_number 55
loop_
_symmetry_equiv_pos_as_xyz
'x,y,z'
'-x,-y,-z'
'-x,-y,z'
'x,y,-z'
'x+1/2,-y+1/2,-z'
'-x+1/2,y+1/2,z'
'-x+1/2,y+1/2,-z'
'x+1/2,-y+1/2,z'
loop_
_atom_site_label
_atom_site_fract_x
_atom_site_fract_y
_atom_site_fract_z
_atom_site_occupancy
Mg1 0.123 0.152 0.000 1
Ta1 0.140 0.411 0.000 1
B1 0.002 0.700 0.500 1
B2 0.118 0.552 0.500 1
B3 0.128 0.969 0.500 1
B4 0.188 0.813 0.500 1
```

Results
Total moment in μB/f.u.: 0.00
Calculated volume in Å³/atom: 10.29

#b
Below is a relaxed MgTaB4 crystal, with properties calculated at the GGA-PBE level.

CIF file:
```
data_MgTaB4
_cell_length_a 3.0451
_cell_length_b 3.0451
_cell_length_c 7.0198
_cell_angle_alpha 90.00
_cell_angle_beta 90.00
_cell_angle_gamma 120.00
_symmetry_space_group_name_H-M 'P 6/m m m'
_symmetry_Int_Tables_number 191
_symmetry_space_group_name_Hall '-P 6 2'
loop_
_atom_site_label
_atom_site_fract_x
_atom_site_fract_y
_atom_site_fract_z
_atom_site_occupancy
Mg1 0.0000 0.0000 0.0000 1
Ta1 0.0000 0.0000 0.5000 1
B1 0.3333 0.6667 0.2562 1
```

Results
Total moment in μB/f.u.: 0.01
Calculated volume in Å³/atom: 9.39

Compare the structures above. Which one is the most stable? #b is.